# PBE LuPaSiPd, optimized geometry
# E: -26.31 eV per formula unit
# E_form (uncorrected): -418 meV per atom
# total moment: 6.02 μB per cell
data_LuPaSiPd
_cell_length_a 6.981
_cell_length_b 6.981
_cell_length_c 6.981
_cell_angle_alpha 90.00
_cell_angle_beta 90.00
_cell_angle_gamma 90.00
_symmetry_space_group_name_H-M 'P 1'
_symmetry_Int_Tables_number 1
_symmetry_space_group_name_Hall 'P 1'
loop_
_atom_site_label
_atom_site_type_symbol
_atom_site_fract_x
_atom_site_fract_y
_atom_site_fract_z
Lu1 Lu 0.000 0.000 0.000
Lu2 Lu 0.000 0.500 0.500
Lu3 Lu 0.500 0.000 0.500
Lu4 Lu 0.500 0.500 0.000
Pa1 Pa 0.000 0.000 0.500
Pa2 Pa 0.000 0.500 0.000
Pa3 Pa 0.500 0.000 0.000
Pa4 Pa 0.500 0.500 0.500
Si1 Si 0.250 0.250 0.750
Si2 Si 0.250 0.750 0.250
Si3 Si 0.750 0.250 0.250
Si4 Si 0.750 0.750 0.750
Pd1 Pd 0.250 0.250 0.250
Pd2 Pd 0.250 0.750 0.750
Pd3 Pd 0.750 0.250 0.750
Pd4 Pd 0.750 0.750 0.250